[1]
The following is a DFT calculation (PBE) of Zr2PaTc3 after structural relaxation.

Cell: 4.7399 7.4685 6.6548 Å, 90.01 90.02 71.47°
Positions (direct):
Tc  0.8331  0.3347  0.7561
Tc  0.8328  0.3347  0.2439
Zr  0.0000  0.0000  0.0000
Tc  0.1669  0.6653  0.2439
Zr  0.3350  0.3299  0.5000
Tc  0.1672  0.6653  0.7561
Pa  0.3362  0.3279  0.0000
Tc  0.5000  0.0000  0.7550
Zr  0.6650  0.6701  0.5000
Pa  0.6638  0.6721  0.0000
Zr  0.0000  0.0000  0.5000
Tc  0.5000  0.0000  0.2450

relative energy among the computed polymorphs = 0.0000 eV per atom
calculated total energy = -9.982 eV per atom
space-group type = Cmmm
mass density = 10.5 Mg/m³
ΔE_f = -0.37 eV per atom
total magnetic moment = 0.0 Bohr magnetons per cell


[2]
The following is a DFT calculation (PBE) of CaNbRu2Pt after structural relaxation.

Cell: 4.5691 4.7370 4.5691 Å, 90.00 90.00 90.00°
Positions (direct):
Ru  0.5000  0.0000  0.0000
Pt  0.0000  0.5000  0.0000
Nb  0.5000  0.5000  0.5000
Ca  0.0000  0.0000  0.0000
Ru  0.0000  0.0000  0.5000

calculated total energy = -5.507 eV per atom
space-group type = P4/mmm
mass density = 8.9 Mg/m³
ΔE_f = 1.83 eV per atom
total magnetic moment = 0.5 Bohr magnetons per cell


[3]
The following is a DFT calculation (PBE) of Cs2LiCl3 after structural relaxation.

Cell: 7.1983 8.0456 16.3425 Å, 88.76 87.23 63.43°
Positions (direct):
Cs  0.6471  0.2109  0.9278
Cl  0.5791  0.8418  0.2500
Cl  0.8548  0.8079  0.0447
Cl  0.3373  0.8079  0.4553
Cs  0.5795  0.3949  0.3459
Cl  0.8706  0.6778  0.6366
Cl  0.9895  0.0210  0.7500
Cl  0.1452  0.1921  0.9553
Cs  0.1420  0.2109  0.5722
Cs  0.9743  0.6051  0.8459
Cl  0.6627  0.1921  0.5447
Li  0.2615  0.0034  0.8346
Cl  0.5485  0.3222  0.1366
Cl  0.4209  0.1582  0.7500
Cs  0.4205  0.6051  0.6541
Cs  0.0257  0.3949  0.1541
Li  0.7385  0.9966  0.1654
Li  0.7351  0.0034  0.6654
Cl  0.0105  0.9790  0.2500
Cl  0.1294  0.3222  0.3634
Cl  0.4515  0.6778  0.8634
Li  0.2649  0.9966  0.3346
Cs  0.8580  0.7891  0.4278
Cs  0.3529  0.7891  0.0722

relative energy among the computed polymorphs = 0.0000 eV per atom
formation energy (no corrections) = -11.562 eV per formula unit
calculated total energy = -3.454 eV per atom
space-group type = C2/c
mass density = 3.0 Mg/m³
total magnetic moment = 0.0 Bohr magnetons per cell


[4]
The following is a DFT calculation (PBE) of Y2TeOs after structural relaxation.

Cell: 4.5522 3.8462 5.8417 Å, 70.78 90.00 90.00°
Positions (direct):
Te  0.5000  0.5464  0.7836
Os  0.0000  0.7162  0.4396
Y  0.0000  0.9729  0.9311
Y  0.5000  0.2646  0.3457

formation energy (no corrections) = -2.290 eV per formula unit
calculated total energy = -7.397 eV per atom
space-group type = Pm
mass density = 8.5 Mg/m³
total magnetic moment = 0.0 Bohr magnetons per cell


[5]
The following is a DFT calculation (PBE) of Li2SF after structural relaxation.

Cell: 4.1978 4.1978 4.1978 Å, 60.00 60.00 60.00°
Positions (direct):
F  0.0000  0.0000  0.0000
Li  0.7500  0.7500  0.7500
S  0.5000  0.5000  0.5000
Li  0.2500  0.2500  0.2500

relative energy among the computed polymorphs = 0.5027 eV per atom
formation energy (no corrections) = -5.083 eV per formula unit
calculated total energy = -3.727 eV per atom
space-group type = Fm-3m
mass density = 2.1 Mg/m³
total magnetic moment = 1.0 Bohr magnetons per cell


[6]
The following is a DFT calculation (PBE) of Ho2TmSe4 after structural relaxation.

Cell: 4.0673 7.1041 7.8823 Å, 118.18 104.95 90.00°
Positions (direct):
Se  0.1212  0.8012  0.2424
Ho  0.2659  0.2550  0.5318
Se  0.6331  0.2791  0.2663
Tm  0.0000  0.0000  0.0000
Se  0.3669  0.7209  0.7337
Se  0.8788  0.1988  0.7576
Ho  0.7341  0.7450  0.4682

relative energy among the computed polymorphs = 0.0495 eV per atom
formation energy (no corrections) = -12.663 eV per formula unit
calculated total energy = -5.747 eV per atom
space-group type = C2/m
mass density = 7.0 Mg/m³
total magnetic moment = 0.0 Bohr magnetons per cell


[7]
The following is a DFT calculation (PBE) of CaMg2ReO after structural relaxation.

Cell: 4.2765 4.6493 4.2765 Å, 90.00 90.00 90.00°
Positions (direct):
Re  0.5000  0.5000  0.5000
Mg  0.0000  0.0000  0.5000
Ca  0.0000  0.5000  0.0000
O  0.0000  0.0000  0.0000
Mg  0.5000  0.0000  0.0000

formation energy (no corrections) = -1.736 eV per formula unit
calculated total energy = -4.867 eV per atom
space-group type = P4/mmm
mass density = 5.7 Mg/m³
total magnetic moment = 1.0 Bohr magnetons per cell


[8]
The following is a DFT calculation (PBE) of BeSnHRh2 after structural relaxation.

Cell: 4.0492 4.0492 3.6404 Å, 90.00 90.00 90.00°
Positions (direct):
Rh  0.0000  0.5000  0.0000
H  0.0000  0.0000  0.0000
Rh  0.5000  0.0000  0.0000
Sn  0.5000  0.5000  0.5000
Be  0.0000  0.0000  0.5000

calculated total energy = -5.412 eV per atom
space-group type = P4/mmm
mass density = 9.3 Mg/m³
total magnetic moment = 0.0 Bohr magnetons per cell